No. 1
## Ta2TlIn (PBE)

Data for an optimized crystal structure of Ta2TlIn.

Cell lengths 3.6481, 3.6486, 6.2967 Å; angles 90.00, 90.00, 90.00 degrees
With the nearest neighbours (Å) after each atom.
Positions (direct):
In  0.5000  0.5000  0.7569  5 Ta 2.89-3.10, 4 Tl 3.05
Ta  0.0000  0.0000  0.0289  4 Ta 2.83, 1 Tl 2.96, 4 In 3.10
Ta  0.5000  0.5000  0.2155  4 Ta 2.83, 1 In 2.89, 4 Tl 3.14
Tl  0.0000  0.0000  0.4987  5 Ta 2.96-3.14, 4 In 3.05

The space-group type is P4mm. The value obtained for the formation energy is 0.342 eV/atom. Its spin magnetization is 0.0 μB per formula unit. The calculation puts the volume at 21.0 A^3/atom. Its density of states at the Fermi level is 2.0 states/eV/cell.


No. 2
## Dy5Pa3N12 (PBE)

Data for an optimized crystal structure of Dy5Pa3N12.

Cell lengths 11.6607, 11.6607, 11.6607 Å; angles 109.47, 109.47, 109.47 degrees
With the nearest neighbours (Å) after each atom.
Positions (direct):
Pa  0.7500  0.3750  0.1250  8 N 2.31-2.58
Pa  0.8750  0.7500  0.1250  8 N 2.31-2.58
Pa  0.3750  0.7500  0.6250  8 N 2.31-2.58
Pa  0.2500  0.1250  0.3750  8 N 2.31-2.58
Pa  0.8750  0.1250  0.2500  8 N 2.31-2.58
Pa  0.3750  0.6250  0.2500  8 N 2.31-2.58
Pa  0.6250  0.3750  0.7500  8 N 2.31-2.58
Pa  0.1250  0.8750  0.7500  8 N 2.31-2.58
Pa  0.7500  0.8750  0.6250  8 N 2.31-2.58
Pa  0.6250  0.2500  0.3750  8 N 2.31-2.58
Pa  0.1250  0.2500  0.8750  8 N 2.31-2.58
Pa  0.2500  0.6250  0.8750  8 N 2.31-2.58
Dy  0.1250  0.3750  0.2500  4 N 2.21
Dy  0.0000  0.5000  0.0000  6 N 2.37
Dy  0.0000  0.0000  0.0000  6 N 2.37
Dy  0.3750  0.2500  0.1250  4 N 2.21
Dy  0.5000  0.0000  0.5000  6 N 2.37
Dy  0.5000  0.5000  0.0000  6 N 2.37
Dy  0.1250  0.7500  0.3750  4 N 2.21
Dy  0.7500  0.1250  0.8750  4 N 2.21
Dy  0.7500  0.6250  0.3750  4 N 2.21
Dy  0.3750  0.1250  0.7500  4 N 2.21
Dy  0.6250  0.8750  0.2500  4 N 2.21
Dy  0.5000  0.5000  0.5000  6 N 2.37
Dy  0.5000  0.0000  0.0000  6 N 2.37
Dy  0.0000  0.0000  0.5000  6 N 2.37
Dy  0.2500  0.3750  0.6250  4 N 2.21
Dy  0.2500  0.8750  0.1250  4 N 2.21
Dy  0.0000  0.5000  0.5000  6 N 2.37
Dy  0.8750  0.2500  0.6250  4 N 2.21
Dy  0.6250  0.7500  0.8750  4 N 2.21
Dy  0.8750  0.6250  0.7500  4 N 2.21
N  0.7365  0.1349  0.0623  2 Dy 2.21-2.37, 1 Pa 2.31
N  0.3258  0.5623  0.4274  2 Dy 2.21-2.37, 1 Pa 2.31
N  0.9377  0.3651  0.2635  2 Dy 2.21-2.37, 1 Pa 2.31
N  0.5623  0.2365  0.1349  2 Dy 2.21-2.37, 1 Pa 2.31
N  0.6016  0.7365  0.6742  2 Dy 2.21-2.37, 1 Pa 2.31
N  0.9377  0.5726  0.1742  2 Dy 2.21-2.37, 1 Pa 2.31
N  0.3258  0.7635  0.3984  2 Dy 2.21-2.37, 1 Pa 2.31
N  0.0726  0.8984  0.1349  2 Dy 2.21-2.37, 1 Pa 2.31
N  0.5726  0.9377  0.6742  2 Dy 2.21-2.37, 1 Pa 2.31
N  0.7365  0.6016  0.1742  2 Dy 2.21-2.37, 1 Pa 2.31
N  0.7635  0.4377  0.3651  2 Dy 2.21-2.37, 1 Pa 2.31
N  0.8258  0.9274  0.0623  2 Dy 2.21-2.37, 1 Pa 2.31
N  0.1349  0.7365  0.5623  2 Dy 2.21-2.37, 1 Pa 2.31
N  0.3651  0.4274  0.1016  2 Dy 2.21-2.37, 1 Pa 2.31
N  0.1016  0.9274  0.3651  2 Dy 2.21-2.37, 1 Pa 2.31
N  0.3984  0.1349  0.5726  2 Dy 2.21-2.37, 1 Pa 2.31
N  0.1016  0.1742  0.2365  2 Dy 2.21-2.37, 1 Pa 2.31
N  0.4377  0.6742  0.0726  2 Dy 2.21-2.37, 1 Pa 2.31
N  0.8258  0.8984  0.2635  2 Dy 2.21-2.37, 1 Pa 2.31
N  0.1349  0.3984  0.0726  2 Dy 2.21-2.37, 1 Pa 2.31
N  0.3651  0.9377  0.7635  2 Dy 2.21-2.37, 1 Pa 2.31
N  0.5726  0.6349  0.3984  2 Dy 2.21-2.37, 1 Pa 2.31
N  0.9274  0.8258  0.5623  2 Dy 2.21-2.37, 1 Pa 2.31
N  0.7635  0.3258  0.8984  2 Dy 2.21-2.37, 1 Pa 2.31
N  0.4274  0.3651  0.6016  2 Dy 2.21-2.37, 1 Pa 2.31
N  0.0726  0.1742  0.4377  2 Dy 2.21-2.37, 1 Pa 2.31
N  0.2365  0.6742  0.1016  2 Dy 2.21-2.37, 1 Pa 2.31
N  0.1742  0.1016  0.7365  2 Dy 2.21-2.37, 1 Pa 2.31
N  0.6349  0.0623  0.2365  2 Dy 2.21-2.37, 1 Pa 2.31
N  0.8651  0.6016  0.9274  2 Dy 2.21-2.37, 1 Pa 2.31
N  0.5623  0.3258  0.9274  2 Dy 2.21-2.37, 1 Pa 2.31
N  0.6016  0.8651  0.4274  2 Dy 2.21-2.37, 1 Pa 2.31
N  0.8984  0.8258  0.7635  2 Dy 2.21-2.37, 1 Pa 2.31
N  0.8984  0.0726  0.6349  2 Dy 2.21-2.37, 1 Pa 2.31
N  0.8651  0.2635  0.4377  2 Dy 2.21-2.37, 1 Pa 2.31
N  0.1742  0.0726  0.9377  2 Dy 2.21-2.37, 1 Pa 2.31
N  0.6349  0.5726  0.8984  2 Dy 2.21-2.37, 1 Pa 2.31
N  0.4274  0.0623  0.3258  2 Dy 2.21-2.37, 1 Pa 2.31
N  0.2635  0.3984  0.8258  2 Dy 2.21-2.37, 1 Pa 2.31
N  0.2365  0.5623  0.6349  2 Dy 2.21-2.37, 1 Pa 2.31
N  0.9274  0.1016  0.8651  2 Dy 2.21-2.37, 1 Pa 2.31
N  0.6742  0.2365  0.6016  2 Dy 2.21-2.37, 1 Pa 2.31
N  0.4377  0.7635  0.8651  2 Dy 2.21-2.37, 1 Pa 2.31
N  0.0623  0.4274  0.8258  2 Dy 2.21-2.37, 1 Pa 2.31
N  0.3984  0.2635  0.3258  2 Dy 2.21-2.37, 1 Pa 2.31
N  0.0623  0.6349  0.7365  2 Dy 2.21-2.37, 1 Pa 2.31
N  0.6742  0.4377  0.5726  2 Dy 2.21-2.37, 1 Pa 2.31
N  0.2635  0.8651  0.9377  2 Dy 2.21-2.37, 1 Pa 2.31

The space-group type is Ia-3d. As for the uncorrected formation energy: -0.906 eV/atom. Its spin magnetization is 0.0 μB per formula unit. The calculation puts the volume at 15.3 A^3/atom. Its density of states at the Fermi level is 51.0 states/eV/cell.


No. 3
## RbTl3Sb (PBE)

Data for an optimized crystal structure of RbTl3Sb.

Cell lengths 4.6582, 11.1071, 14.5050 Å; angles 90.00, 90.00, 90.00 degrees
With the nearest neighbours (Å) after each atom.
Positions (direct):
Rb  0.7500  0.8027  0.0008  2 Sb 3.71, 7 Tl 3.81-4.09
Rb  0.2500  0.6973  0.5008  2 Sb 3.71, 7 Tl 3.81-4.09
Rb  0.7500  0.3027  0.4992  2 Sb 3.71, 7 Tl 3.81-4.09
Rb  0.2500  0.1973  0.9992  2 Sb 3.71, 7 Tl 3.81-4.09
Tl  0.2500  0.5644  0.1013  2 Sb 3.18, 1 Tl 3.42
Tl  0.7500  0.4356  0.8987  2 Sb 3.18, 1 Tl 3.42
Tl  0.2500  0.0644  0.3987  2 Sb 3.18, 1 Tl 3.42
Tl  0.7500  0.9356  0.6013  2 Sb 3.18, 1 Tl 3.42
Tl  0.2500  0.4268  0.6924  2 Sb 3.23-3.45, 2 Tl 3.53
Tl  0.7500  0.0732  0.1924  2 Sb 3.23-3.45, 2 Tl 3.53
Tl  0.2500  0.9268  0.8076  2 Sb 3.23-3.45, 2 Tl 3.53
Tl  0.7500  0.6642  0.7130  2 Sb 3.16, 3 Tl 3.42-3.53
Tl  0.2500  0.3358  0.2870  2 Sb 3.16, 3 Tl 3.42-3.53
Tl  0.7500  0.1642  0.7870  2 Sb 3.16, 3 Tl 3.42-3.53
Tl  0.7500  0.5732  0.3076  2 Sb 3.23-3.45, 2 Tl 3.53
Tl  0.2500  0.8358  0.2130  2 Sb 3.16, 3 Tl 3.42-3.53
Sb  0.2500  0.1229  0.6430  6 Tl 3.16-3.45
Sb  0.2500  0.6229  0.8570  6 Tl 3.16-3.45
Sb  0.7500  0.3771  0.1430  6 Tl 3.16-3.45
Sb  0.7500  0.8771  0.3570  6 Tl 3.16-3.45

The space-group type is Pnma. As for the uncorrected formation energy: -0.131 eV/atom. Its spin magnetization is 0.0 μB per formula unit. The calculation puts the volume at 37.5 A^3/atom. Its density of states at the Fermi level is 6.7 states/eV/cell.


No. 4
## RbZnCd2 (PBE)

Data for an optimized crystal structure of RbZnCd2.

Cell lengths 4.8243, 4.8243, 7.1653 Å; angles 70.33, 70.33, 60.00 degrees
With the nearest neighbours (Å) after each atom.
Positions (direct):
Zn  0.5000  0.5000  0.5000  6 Cd 2.83
Rb  0.0000  0.0000  0.0000  8 Cd 3.78-3.96
Cd  0.8090  0.8090  0.5729  3 Zn 2.83, 3 Cd 2.95
Cd  0.1910  0.1910  0.4271  3 Zn 2.83, 3 Cd 2.95

The space-group type is R-3m. The value obtained for the formation energy is -0.013 eV/atom. Its spin magnetization is 0.0 μB per formula unit. The calculation puts the volume at 33.3 A^3/atom. Its density of states at the Fermi level is 2.3 states/eV/cell.